Cu3Mo2H2O10: relaxed, PBE with a Hubbard U.

extended XYZ file:
```
17
Lattice="5.504 0.000 0.000 -0.763 5.673 0.000 -2.117 -2.014 7.023" Properties=species:S:1:pos:R:3 pbc="T T T"
Cu 0.000 0.000 0.000
Cu 0.402 2.939 1.316
Cu 2.222 0.719 5.707
Mo -0.265 2.962 4.880
Mo 2.889 0.697 2.143
H -0.852 0.117 6.060
H 3.476 3.541 0.963
O -1.993 2.991 5.442
O -1.664 -0.071 6.595
O -0.235 3.295 3.123
O 1.198 5.146 1.253
O 0.440 1.314 5.230
O 2.184 2.344 1.793
O 1.426 -1.487 5.770
O 2.859 0.364 3.901
O 4.288 3.729 0.429
O 4.617 0.668 1.581
```

V = 219 Å³ per cell
symmetry = P-1
ΔE to the lowest computed polymorph = 0.0030 eV/atom
DOS(E_F) = 1.1 states/eV/cell


Cu3MoH4O8: relaxed, PBE with a Hubbard U.

extended XYZ file:
```
64
Lattice="8.462 0.000 0.000 0.000 13.004 0.000 0.000 0.000 6.227" Properties=species:S:1:pos:R:3 pbc="T T T"
Cu 0.000 0.000 0.000
Cu 0.000 0.000 3.113
Cu 2.007 4.717 1.543
Cu 2.007 4.717 4.684
Cu 2.224 11.219 1.571
Cu 2.224 11.219 4.656
Cu 4.231 6.502 0.000
Cu 4.231 6.502 3.113
Cu 6.238 1.785 1.571
Cu 6.238 1.785 4.656
Cu 6.455 8.287 1.543
Cu 6.455 8.287 4.684
Mo 0.925 8.203 0.000
Mo 3.306 1.701 3.113
Mo 5.156 11.303 3.113
Mo 7.537 4.801 0.000
H 0.329 2.077 1.693
H 0.329 2.077 4.534
H 1.178 6.465 3.113
H 1.221 9.570 3.113
H 3.010 3.068 0.000
H 3.053 12.967 0.000
H 3.902 8.579 1.420
H 3.902 8.579 4.806
H 4.560 4.425 1.420
H 4.560 4.425 4.806
H 5.409 0.037 0.000
H 5.452 9.936 0.000
H 7.241 3.434 3.113
H 7.285 6.539 3.113
H 8.133 10.927 1.693
H 8.133 10.927 4.534
O 0.029 4.515 1.519
O 0.029 4.515 4.707
O 0.259 11.711 1.592
O 0.259 11.711 4.634
O 1.642 6.556 0.000
O 1.943 2.855 3.113
O 1.966 5.888 3.113
O 2.080 10.048 3.113
O 2.151 3.546 0.000
O 2.265 12.390 0.000
O 2.288 9.357 0.000
O 2.589 0.054 3.113
O 3.972 5.209 1.521
O 3.972 5.209 4.706
O 4.202 11.018 1.594
O 4.202 11.018 4.632
O 4.260 1.987 1.594
O 4.260 1.987 4.632
O 4.490 7.795 1.521
O 4.490 7.795 4.706
O 5.873 12.950 3.113
O 6.175 3.647 0.000
O 6.197 0.615 0.000
O 6.311 9.458 0.000
O 6.382 2.956 3.113
O 6.496 7.117 3.113
O 6.519 10.149 3.113
O 6.820 6.448 0.000
O 8.203 1.293 1.592
O 8.203 1.293 4.634
O 8.433 8.489 1.519
O 8.433 8.489 4.707
```

V = 685 Å³ per cell
energy = -5.470 eV/atom
symmetry = Pnnm
DOS(E_F) = 16.0 states/eV/cell


Cu3Mo2H2O10: relaxed, PBE with a Hubbard U.

extended XYZ file:
```
34
Lattice="5.475 0.000 0.000 0.000 14.095 0.000 -4.668 0.000 5.647" Properties=species:S:1:pos:R:3 pbc="T T T"
Cu 0.000 0.000 0.000
Cu -2.334 7.047 2.823
Cu -0.363 1.323 2.931
Cu 1.971 5.724 0.108
Cu -1.163 8.370 5.539
Cu 1.171 12.772 2.716
Mo 0.529 9.222 2.097
Mo -1.805 11.920 4.921
Mo 2.612 2.175 0.726
Mo 0.278 4.873 3.549
H -3.590 8.007 4.965
H -1.256 13.135 2.141
H 2.064 0.960 3.505
H 4.398 6.087 0.682
O -0.178 8.865 0.448
O -2.512 12.277 3.271
O -2.779 7.471 4.764
O -0.445 13.671 1.941
O 0.902 1.577 0.667
O -1.432 5.470 3.491
O -0.415 8.339 3.314
O 1.919 12.803 0.491
O -1.881 10.168 5.281
O 0.453 10.974 2.457
O 0.354 3.121 3.189
O 2.688 3.926 0.366
O -1.112 1.292 5.156
O 1.222 5.756 2.333
O 2.240 8.624 2.156
O -0.094 12.518 4.979
O 1.253 0.424 3.706
O 3.587 6.624 0.883
O 3.320 1.817 2.376
O 0.986 5.230 5.199
```

V = 436 Å³ per cell
symmetry = P2_1/c
ΔE to the lowest computed polymorph = 0.0000 eV/atom
DOS(E_F) = 3.8 states/eV/cell


Cu3Mo2H2O10: relaxed, PBE with a Hubbard U.

extended XYZ file:
```
17
Lattice="5.664 0.000 0.000 0.541 5.839 0.000 0.391 0.680 6.544" Properties=species:S:1:pos:R:3 pbc="T T T"
Cu 0.000 0.000 0.000
Cu 2.385 1.419 0.500
Cu 4.210 5.101 6.043
Mo 1.585 3.976 4.370
Mo 5.011 2.543 2.174
H 2.084 4.540 1.301
H 4.511 1.979 5.243
O 0.544 1.358 1.328
O 1.395 3.760 2.588
O 1.905 2.473 5.329
O 2.195 4.943 0.389
O 3.155 4.825 4.444
O 3.441 1.694 2.100
O 4.401 1.576 6.155
O 4.690 4.046 1.215
O 5.200 2.760 3.956
O 6.052 5.161 5.216
```

V = 216 Å³ per cell
symmetry = P-1
ΔE to the lowest computed polymorph = 0.0320 eV/atom
DOS(E_F) = 0.5 states/eV/cell


Number 1: M_tot 2.98 μB/f.u.. Number 2: M_tot 2.58 μB/f.u.. Number 3: M_tot 2.97 μB/f.u.. Number 4: M_tot 1.05 μB/f.u..